# Ca2GaSnAu6

A geometry-optimized Ca2GaSnAu6 structure (GGA-PBE, the Alexandria database).

Output
The value obtained for the formation energy from the elements is -4.5 eV per formula unit. For the calculated volume, the calculation gives 23.8 Å³/atom. Its space-group type is Pmmn. For the spin magnetization, the calculation gives 0.000 μB per cell.

The structure in CIF format:
```
data_Ca2GaSnAu6
_space_group_name_H-M_alt 'P 1'
_space_group_IT_number 1
_space_group_name_Hall 'P 1'
_cell_length_a 5.773
_cell_length_b 9.300
_cell_length_c 8.877
_cell_angle_alpha 90.00
_cell_angle_beta 90.00
_cell_angle_gamma 90.00
loop_
_atom_site_label
_atom_site_type_symbol
_atom_site_fract_x
_atom_site_fract_y
_atom_site_fract_z
_atom_site_occupancy
Ca1 Ca 0.500 0.742 0.245 1
Ca2 Ca 0.000 0.258 0.745 1
Ca3 Ca 0.500 0.742 0.755 1
Ca4 Ca 0.000 0.258 0.255 1
Ga1 Ga 0.500 0.251 0.500 1
Ga2 Ga 0.000 0.749 0.000 1
Sn1 Sn 0.000 0.721 0.500 1
Sn2 Sn 0.500 0.279 0.000 1
Au1 Au 0.500 0.109 0.249 1
Au2 Au 0.500 0.109 0.751 1
Au3 Au 0.000 0.891 0.251 1
Au4 Au 0.000 0.891 0.749 1
Au5 Au 0.248 0.007 0.500 1
Au6 Au 0.752 0.007 0.500 1
Au7 Au 0.253 0.476 0.500 1
Au8 Au 0.747 0.476 0.500 1
Au9 Au 0.753 0.524 0.000 1
Au10 Au 0.247 0.524 0.000 1
Au11 Au 0.252 0.993 0.000 1
Au12 Au 0.748 0.993 0.000 1
```